DFT (GGA-PBE) results for a geometry-optimized CaPr2Nd2Sm2 structure.

As for the crystal system: monoclinic. The value obtained for the formation energy is 42 meV per atom. Its electronic total energy is -4.32 eV per atom. The value obtained for the density is 6037 kg/m³.

The structure belongs to space group C2/m (No. 12); the cell edges are 11.671, 5.235 and 8.294 Å and the angles 90.00°, 98.44° and 90.00°. The distinct sites, in fractional coordinates, are Ca at (0.000, 0.000, 0.000), Pr at (0.217, 0.500, 0.148), Nd at (0.144, 0.000, 0.433) and Sm at (0.075, 0.500, 0.705).

---

DFT (GGA-PBE) results for a geometry-optimized CeSi2TcPd structure.

As for the crystal system: tetragonal. Its electronic total energy is -7.25 eV per atom. The value obtained for the formation energy without anion corrections is -75.3 kJ per mole of atoms. The value obtained for the density is 7577 kg/m³.

The structure belongs to space group I-4m2 (No. 119); the cell edges are 4.177, 4.177 and 10.066 Å and the angles 90.00°, 90.00° and 90.00°. The distinct sites, in fractional coordinates, are Ce at (0.000, 0.000, 0.000), Si at (0.000, 0.000, 0.376), Tc at (0.000, 0.500, 0.250) and Pd at (0.000, 0.500, 0.750).

---

DFT (GGA-PBE) results for a geometry-optimized TiTc5Mo4 structure.

As for the crystal system: tetragonal. The value obtained for the formation energy is -86 meV per atom. Its electronic total energy is -10.39 eV per atom. The value obtained for the density is 10054 kg/m³.

The structure belongs to space group P4/mmm (No. 123); the cell edges are 3.115, 3.115 and 15.689 Å and the angles 90.00°, 90.00° and 90.00°. The distinct sites, in fractional coordinates, are Ti at (0.000, 0.000, 0.000), Tc at (0.500, 0.500, 0.100), Tc at (0.500, 0.500, 0.302), Tc at (0.500, 0.500, 0.500), Mo at (0.000, 0.000, 0.196) and Mo at (0.000, 0.000, 0.399).

---

DFT (GGA-PBE) results for a geometry-optimized CeSi2W structure.

As for the crystal system: trigonal. Its electronic total energy is -7.42 eV per atom. The value obtained for the formation energy without anion corrections is 1.5 kJ per mole of atoms. The value obtained for the density is 8568 kg/m³.

The structure belongs to space group R-3m (No. 166, hexagonal axes); the cell edges are 3.1558, 3.1558 and 25.6250 Å and the angles 90.00°, 90.00° and 120.00°. The distinct sites, in fractional coordinates, are Ce at (0.0000, 0.0000, 0.0000), Si at (0.0000, 0.0000, 0.2364) and W at (0.0000, 0.0000, 0.5000).

---

DFT (GGA-PBE) results for a geometry-optimized SiPC structure.

As for the crystal system: orthorhombic. Its electronic total energy is -6.32 eV per atom. The value obtained for the formation energy without anion corrections is 35.1 kJ per mole of atoms. The value obtained for the density is 3183 kg/m³. Its energy above the most stable polymorph in this dataset is 154 meV per atom.

The structure belongs to space group Amm2 (No. 38); the cell edges are 3.151, 2.823 and 8.335 Å and the angles 90.00°, 90.00° and 90.00°. The distinct sites, in fractional coordinates, are Si at (0.000, 0.000, 0.000), P at (0.500, 0.000, 0.216) and C at (0.500, 0.000, 0.847).

---

DFT (GGA-PBE) results for a geometry-optimized NaWSCl2 structure.

As for the crystal system: tetragonal. Its electronic total energy is -4.92 eV per atom. The value obtained for the formation energy without anion corrections is -48.2 kJ per mole of atoms. The value obtained for the density is 4423 kg/m³. Its energy above the most stable polymorph in this dataset is 0 meV per atom.

The structure belongs to space group P4/mmm (No. 123); the cell edges are 5.019, 5.019 and 4.618 Å and the angles 90.00°, 90.00° and 90.00°. The distinct sites, in fractional coordinates, are Na at (0.000, 0.000, 0.000), W at (0.500, 0.500, 0.500), S at (0.500, 0.500, 0.000) and Cl at (0.000, 0.500, 0.500).

---

Number 2 is which compound? CeSi2TcPd

---

electronic total energy of number 1 (CaPr2Nd2Sm2)? -4.32 eV per atom

---

Repeat the sixth record exactly.
DFT (GGA-PBE) results for a geometry-optimized NaWSCl2 structure.

As for the crystal system: tetragonal. Its electronic total energy is -4.92 eV per atom. The value obtained for the formation energy without anion corrections is -48.2 kJ per mole of atoms. The value obtained for the density is 4423 kg/m³. Its energy above the most stable polymorph in this dataset is 0 meV per atom.

The structure belongs to space group P4/mmm (No. 123); the cell edges are 5.019, 5.019 and 4.618 Å and the angles 90.00°, 90.00° and 90.00°. The distinct sites, in fractional coordinates, are Na at (0.000, 0.000, 0.000), W at (0.500, 0.500, 0.500), S at (0.500, 0.500, 0.000) and Cl at (0.000, 0.500, 0.500).